Entry 1:
AgGeSeO | GGA-PBE | optimized geometry

abc: 5.679 9.216 6.033
angles: 90.00 90.00 90.00
Sites, in units of the cell vectors:
1 Ag 0.714 0.437 0.495
2 Ag 0.214 0.563 0.495
3 Ag 0.786 0.437 0.995
4 Ag 0.286 0.563 0.995
5 Ge 0.097 0.099 0.453
6 Ge 0.597 0.901 0.453
7 Ge 0.403 0.099 0.953
8 Ge 0.903 0.901 0.953
9 O 0.128 0.022 0.097
10 O 0.628 0.978 0.097
11 O 0.372 0.022 0.597
12 O 0.872 0.978 0.597
13 Se 0.429 0.322 0.204
14 Se 0.929 0.678 0.204
15 Se 0.071 0.322 0.704
16 Se 0.571 0.678 0.704

Summary:
- ΔE to the lowest computed polymorph (eV/f.u.) = 0.28

=====

Entry 2:
AgGeSeO | GGA-PBE | optimized geometry

abc: 5.183 5.183 6.353
angles: 90.00 90.00 90.00
Sites, in units of the cell vectors:
1 Ag 0.750 0.750 0.218
2 Ag 0.250 0.250 0.782
3 Ge 0.250 0.250 0.377
4 Ge 0.750 0.750 0.623
5 O 0.250 0.250 0.111
6 O 0.750 0.750 0.889
7 Se 0.750 0.250 0.500
8 Se 0.250 0.750 0.500

Summary:
- ΔE to the lowest computed polymorph (eV/f.u.) = 1.26

=====

Entry 3:
AgGeSeO | GGA-PBE | optimized geometry

abc: 4.767 4.767 7.916
angles: 90.00 90.00 90.00
Sites, in units of the cell vectors:
1 Ag 0.250 0.250 0.361
2 Ag 0.750 0.750 0.639
3 Ge 0.750 0.750 0.142
4 Ge 0.250 0.250 0.858
5 O 0.250 0.250 0.071
6 O 0.750 0.750 0.929
7 Se 0.750 0.250 0.500
8 Se 0.250 0.750 0.500

Summary:
- ΔE to the lowest computed polymorph (eV/f.u.) = 1.30

=====

Entry 4:
AgGeSeO | GGA-PBE | optimized geometry

abc: 6.124 9.536 5.244
angles: 90.00 90.00 90.00
Sites, in units of the cell vectors:
1 Ag 0.362 0.095 0.015
2 Ag 0.862 0.905 0.015
3 Ag 0.138 0.095 0.515
4 Ag 0.638 0.905 0.515
5 Ge 0.919 0.305 0.070
6 Ge 0.419 0.695 0.070
7 Ge 0.581 0.305 0.570
8 Ge 0.081 0.695 0.570
9 O 0.968 0.124 0.087
10 O 0.468 0.876 0.087
11 O 0.532 0.124 0.587
12 O 0.032 0.876 0.587
13 Se 0.505 0.352 0.078
14 Se 0.005 0.648 0.078
15 Se 0.995 0.352 0.578
16 Se 0.495 0.648 0.578

Summary:
- ΔE to the lowest computed polymorph (eV/f.u.) = 0.97

=====

Entry 5:
AgGeSeO | GGA-PBE | optimized geometry

abc: 4.036 4.036 8.805
angles: 90.00 90.00 90.00
Sites, in units of the cell vectors:
1 Ag 0.750 0.750 0.240
2 Ag 0.250 0.250 0.760
3 Ge 0.750 0.250 0.000
4 Ge 0.250 0.750 0.000
5 O 0.750 0.750 0.499
6 O 0.250 0.250 0.501
7 Se 0.250 0.250 0.309
8 Se 0.750 0.750 0.691

Summary:
- ΔE to the lowest computed polymorph (eV/f.u.) = 2.52

=====

Entry 6:
TaAgGeO5 | GGA-PBE | optimized geometry

abc: 5.686 5.686 7.527
angles: 106.11 106.11 102.70
Sites, in units of the cell vectors:
1 Ag 0.673 0.327 0.250
2 Ag 0.327 0.673 0.750
3 Ge 0.320 0.680 0.250
4 Ge 0.680 0.320 0.750
5 O 0.239 0.359 0.093
6 O 0.298 0.881 0.109
7 O 0.938 0.062 0.250
8 O 0.119 0.702 0.391
9 O 0.641 0.761 0.407
10 O 0.359 0.239 0.593
11 O 0.881 0.298 0.609
12 O 0.062 0.938 0.750
13 O 0.702 0.119 0.891
14 O 0.761 0.641 0.907
15 Ta 0.000 0.000 0.000
16 Ta 0.000 0.000 0.500

=====

| no. | volume (A^3/atom) | E (eV per cell) |
| --- | --- | --- |
| 1 | 19.73 | -71.34 |
| 2 | 21.33 | -33.72 |
| 3 | 22.48 | -33.63 |
| 4 | 19.14 | -68.60 |
| 5 | 17.93 | -31.20 |
| 6 | 13.29 | -118.01 |